{"formula": "Ta2Zn2CrO8", "functional": "PBE+U", "state": "optimized geometry", "lattice": [[-3.546, 3.372, -2.011], [1.330, -2.069, -5.493], [-7.421, -6.093, 3.317]], "species": ["O", "Ta", "O", "O", "O", "O", "O", "O", "Zn", "O", "Ta", "O", "O", "Zn", "O", "Ta", "O", "Zn", "Cr", "Zn", "O", "O", "O", "Cr", "O", "Ta"], "fractional_positions": [[0.448, 0.014, 0.852], [0.775, 0.027, 0.766], [0.929, 0.284, 0.879], [0.860, 0.553, 0.388], [0.928, 0.084, 0.358], [0.411, 0.555, 0.882], [0.552, 0.986, 0.148], [0.357, 0.848, 0.388], [0.767, 0.433, 0.563], [0.432, 0.292, 0.361], [0.729, 0.285, 0.236], [0.568, 0.708, 0.639], [0.062, 0.207, 0.147], [0.731, 0.872, 0.440], [0.938, 0.793, 0.853], [0.225, 0.973, 0.234], [0.140, 0.447, 0.612], [0.269, 0.128, 0.560], [0.249, 0.353, 0.003], [0.233, 0.567, 0.437], [0.071, 0.716, 0.121], [0.072, 0.916, 0.642], [0.589, 0.445, 0.118], [0.751, 0.647, 0.997], [0.643, 0.152, 0.612], [0.271, 0.715, 0.764]], "magmom_total_mub_per_fu": 4.00, "space_group": "P-1 (2)", "rho_g_cm3": 7.14}



{"formula": "Zr2TaCrO", "functional": "PBE+U", "state": "optimized geometry", "lattice": [[5.114, 0.000, 0.000], [0.000, 4.844, 0.000], [0.000, 0.000, 5.114]], "species": ["O", "Cr", "Ta", "Zr", "Zr"], "fractional_positions": [[0.500, 0.500, 0.500], [0.000, 0.500, 0.000], [0.000, 0.000, 0.000], [0.500, 0.000, 0.000], [0.000, 0.000, 0.500]], "magmom_total_mub_per_fu": 4.11, "space_group": "P4/mmm (123)", "rho_g_cm3": 5.65}



Per-record electronic total energy, eV/atom: -7.87 -6.79
Per-record calculated volume, A^3/atom: 12.028 25.336